DFT (PBE-GGA) results for crystalline TiCdF2 at its relaxed geometry.

Calculated values
formation energy (no corrections) = -1.740 eV per atom
total moment = 1.977 μB per formula unit
offset from the most stable computed form = 0.236 eV per atom
symmetry = I4_1/amd (141)

abc: 5.4819 5.4819 6.9637
angles: 66.82 66.82 90.00
Last column: magnetic moment on the atom in μB.
Positions (direct):
1 F 0.8750 0.6250 0.7500  0.00
2 F 0.3750 0.1250 0.2500  0.01
3 Cd 0.7500 0.2500 0.5000  0.03
4 F 0.3750 0.6250 0.2500  0.01
5 Ti 0.5000 0.5000 0.0000  1.52
6 F 0.3750 0.6250 0.7500  0.00
7 Cd 0.0000 0.0000 0.0000  0.03
8 Ti 0.2500 0.7500 0.5000  1.52

DFT (PBE-GGA) results for crystalline TiCd2F6 at its relaxed geometry.

Calculated values
formation energy (no corrections) = -2.574 eV per atom
total moment = 0.000 μB per formula unit
symmetry = P4_2/mnm (136)

abc: 6.1290 6.1290 9.3677
angles: 90.00 90.00 90.00
Positions (direct):
1 F 0.8486 0.1514 0.1508
2 F 0.3486 0.3486 0.3492
3 Cd 0.5000 0.5000 0.1400
4 F 0.1514 0.8486 0.1508
5 F 0.1514 0.8486 0.8492
6 F 0.2136 0.2136 0.0000
7 Cd 0.0000 0.0000 0.6400
8 F 0.7136 0.2864 0.5000
9 F 0.6514 0.6514 0.6508
10 Ti 0.0000 0.0000 0.0000
11 F 0.6514 0.6514 0.3492
12 F 0.8486 0.1514 0.8492
13 F 0.7864 0.7864 0.0000
14 F 0.3486 0.3486 0.6508
15 Cd 0.5000 0.5000 0.8600
16 F 0.2864 0.7136 0.5000
17 Ti 0.5000 0.5000 0.5000
18 Cd 0.0000 0.0000 0.3600

DFT (PBE-GGA) results for crystalline Ti2CdF2 at its relaxed geometry.

Calculated values
formation energy (no corrections) = -1.160 eV per atom
total moment = 0.000 μB per formula unit
offset from the most stable computed form = 0.000 eV per atom
symmetry = I4/mmm (139)

abc: 3.8108 3.8108 5.7734
angles: 70.73 70.73 90.00
Positions (direct):
1 Ti 0.2500 0.7500 0.5000
2 Ti 0.7500 0.2500 0.5000
3 F 0.3675 0.3675 0.2651
4 Cd 0.0000 0.0000 0.0000
5 F 0.6325 0.6325 0.7349

DFT (PBE-GGA) results for crystalline Ti2CdF at its relaxed geometry.

Calculated values
formation energy (no corrections) = -0.170 eV per atom
total moment = 0.001 μB per formula unit
offset from the most stable computed form = 0.231 eV per atom
symmetry = Fm-3m (225)

abc: 4.5594 4.5594 4.5594
angles: 60.00 60.00 60.00
Positions (direct):
1 Cd 0.5000 0.5000 0.5000
2 Ti 0.2500 0.2500 0.2500
3 Ti 0.7500 0.7500 0.7500
4 F 0.0000 0.0000 0.0000

DFT (PBE-GGA) results for crystalline TiCdF3 at its relaxed geometry.

Calculated values
formation energy (no corrections) = -1.366 eV per atom
total moment = 2.737 μB per formula unit
offset from the most stable computed form = 0.872 eV per atom
symmetry = Pm-3m (221)

abc: 4.4324 4.4324 4.4324
angles: 90.00 90.00 90.00
Last column: magnetic moment on the atom in μB.
Positions (direct):
1 F 0.0000 0.5000 0.0000  0.02
2 F 0.5000 0.0000 0.0000  0.02
3 Ti 0.5000 0.5000 0.5000  2.14
4 F 0.0000 0.0000 0.5000  0.01
5 Cd 0.0000 0.0000 0.0000  0.01

DFT (PBE-GGA) results for crystalline Ti3CdF at its relaxed geometry.

Calculated values
formation energy (no corrections) = 1.055 eV per atom
total moment = 5.138 μB per formula unit
offset from the most stable computed form = 1.572 eV per atom
symmetry = Pm-3m (221)

abc: 5.1304 5.1304 5.1304
angles: 90.00 90.00 90.00
Last column: magnetic moment on the atom in μB.
Positions (direct):
1 Ti 0.5000 0.0000 0.0000  1.33
2 Ti 0.0000 0.5000 0.0000  1.23
3 Cd 0.0000 0.0000 0.0000  0.00
4 Ti 0.0000 0.0000 0.5000  1.43
5 F 0.5000 0.5000 0.5000  0.02